[1]
Compound: Eu2HgGe
Source: Alexandria via LeMat-Bulk
Functional: PBE
Structure: relaxed

Properties
Energy of formation from the pure elements ... -0.61 eV per atom

```
data_Eu2HgGe
_symmetry_space_group_name_H-M 'F m -3 m'
_symmetry_Int_Tables_number 225
_symmetry_space_group_name_Hall '-F 4 2 3'
_cell_length_a 7.633
_cell_length_b 7.633
_cell_length_c 7.633
_cell_angle_alpha 90.00
_cell_angle_beta 90.00
_cell_angle_gamma 90.00
loop_
_atom_site_label
_atom_site_type_symbol
_atom_site_fract_x
_atom_site_fract_y
_atom_site_fract_z
Eu1 Eu 0.250 0.250 0.250
Hg1 Hg 0.000 0.000 0.000
Ge1 Ge 0.000 0.000 0.500
```

[2]
Compound: ScTa2ReGe
Source: Alexandria via LeMat-Bulk
Functional: PBE
Structure: relaxed

Properties
Energy of formation from the pure elements ... 1.15 eV per atom

```
data_ScTa2ReGe
_symmetry_space_group_name_H-M 'P 4/m m m'
_symmetry_Int_Tables_number 123
_symmetry_space_group_name_Hall '-P 4 2'
_cell_length_a 4.718
_cell_length_b 4.718
_cell_length_c 4.671
_cell_angle_alpha 90.00
_cell_angle_beta 90.00
_cell_angle_gamma 90.00
loop_
_atom_site_label
_atom_site_type_symbol
_atom_site_fract_x
_atom_site_fract_y
_atom_site_fract_z
Sc1 Sc 0.000 0.000 0.000
Ta1 Ta 0.000 0.500 0.500
Re1 Re 0.500 0.500 0.000
Ge1 Ge 0.000 0.000 0.500
```

[3]
Compound: Ta2InNi
Source: Alexandria via LeMat-Bulk
Functional: PBE
Structure: relaxed

Properties
Energy of formation from the pure elements ... 0.08 eV per atom

```
data_Ta2InNi
_symmetry_space_group_name_H-M 'P 4/m m m'
_symmetry_Int_Tables_number 123
_symmetry_space_group_name_Hall '-P 4 2'
_cell_length_a 3.921
_cell_length_b 3.921
_cell_length_c 4.423
_cell_angle_alpha 90.00
_cell_angle_beta 90.00
_cell_angle_gamma 90.00
loop_
_atom_site_label
_atom_site_type_symbol
_atom_site_fract_x
_atom_site_fract_y
_atom_site_fract_z
Ta1 Ta 0.000 0.500 0.000
In1 In 0.000 0.000 0.500
Ni1 Ni 0.500 0.500 0.500
```

[4]
Compound: KLaBr4
Source: Alexandria via LeMat-Bulk
Functional: PBE
Structure: relaxed

Properties
Formation energy from raw total energies ... -599 meV per atom

```
data_KLaBr4
_symmetry_space_group_name_H-M 'F -4 3 m'
_symmetry_Int_Tables_number 216
_symmetry_space_group_name_Hall 'F -4 2 3'
_cell_length_a 9.241
_cell_length_b 9.241
_cell_length_c 9.241
_cell_angle_alpha 90.00
_cell_angle_beta 90.00
_cell_angle_gamma 90.00
loop_
_atom_site_label
_atom_site_type_symbol
_atom_site_fract_x
_atom_site_fract_y
_atom_site_fract_z
K1 K 0.000 0.000 0.000
La1 La 0.250 0.250 0.750
Br1 Br 0.125 0.125 0.375
```

[5]
Compound: KTeBr
Source: Alexandria via LeMat-Bulk
Functional: PBE
Structure: relaxed

Properties
Formation energy from raw total energies ... -410 meV per atom

```
data_KTeBr
_symmetry_space_group_name_H-M 'F -4 3 m'
_symmetry_Int_Tables_number 216
_symmetry_space_group_name_Hall 'F -4 2 3'
_cell_length_a 8.032
_cell_length_b 8.032
_cell_length_c 8.032
_cell_angle_alpha 90.00
_cell_angle_beta 90.00
_cell_angle_gamma 90.00
loop_
_atom_site_label
_atom_site_type_symbol
_atom_site_fract_x
_atom_site_fract_y
_atom_site_fract_z
K1 K 0.000 0.000 0.000
Te1 Te 0.000 0.000 0.500
Br1 Br 0.250 0.250 0.750
```

[6]
Compound: Ac8Pb2N
Source: Alexandria via LeMat-Bulk
Functional: PBE
Structure: relaxed

Properties
Formation energy from raw total energies ... -213 meV per atom

```
data_Ac8Pb2N
_symmetry_space_group_name_H-M 'C 1 2/m 1'
_symmetry_Int_Tables_number 12
_symmetry_space_group_name_Hall '-C 2y'
_cell_length_a 18.759
_cell_length_b 6.456
_cell_length_c 7.259
_cell_angle_alpha 90.00
_cell_angle_beta 109.71
_cell_angle_gamma 90.00
loop_
_atom_site_label
_atom_site_type_symbol
_atom_site_fract_x
_atom_site_fract_y
_atom_site_fract_z
Ac1 Ac 0.011 0.000 0.259
Ac2 Ac 0.085 0.500 0.874
Ac3 Ac 0.119 0.500 0.429
Ac4 Ac 0.209 0.000 0.741
Pb1 Pb 0.190 0.000 0.204
N1 N 0.000 0.500 0.500
```

[7]
Compound: InCoAg2
Source: Alexandria via LeMat-Bulk
Functional: PBE
Structure: relaxed

Properties
Energy of formation from the pure elements ... 0.22 eV per atom

```
data_InCoAg2
_symmetry_space_group_name_H-M 'P 4 m m'
_symmetry_Int_Tables_number 99
_symmetry_space_group_name_Hall 'P 4 -2'
_cell_length_a 3.186
_cell_length_b 3.186
_cell_length_c 6.679
_cell_angle_alpha 90.00
_cell_angle_beta 90.00
_cell_angle_gamma 90.00
loop_
_atom_site_label
_atom_site_type_symbol
_atom_site_fract_x
_atom_site_fract_y
_atom_site_fract_z
In1 In 0.000 0.000 0.000
Co1 Co 0.500 0.500 0.787
Ag1 Ag 0.000 0.000 0.555
Ag2 Ag 0.500 0.500 0.290
```

[8]
Compound: Pu2CdIn3
Source: Alexandria via LeMat-Bulk
Functional: PBE
Structure: relaxed

Properties
Energy of formation from the pure elements ... -0.13 eV per atom

```
data_Pu2CdIn3
_symmetry_space_group_name_H-M 'P 63/m m c'
_symmetry_Int_Tables_number 194
_symmetry_space_group_name_Hall '-P 6c 2c'
_cell_length_a 6.1605
_cell_length_b 6.1605
_cell_length_c 9.2473
_cell_angle_alpha 90.00
_cell_angle_beta 90.00
_cell_angle_gamma 120.00
loop_
_atom_site_label
_atom_site_type_symbol
_atom_site_fract_x
_atom_site_fract_y
_atom_site_fract_z
Pu1 Pu 0.3333 0.6667 0.0777
Cd1 Cd 0.0000 0.0000 0.0000
In1 In 0.1732 0.3465 0.7500
```

[9]
Compound: ZrSeN2F
Source: Alexandria via LeMat-Bulk
Functional: PBE
Structure: relaxed

Properties
Formation energy from raw total energies ... 1021 meV per atom

```
data_ZrSeN2F
_symmetry_space_group_name_H-M 'P 4/m m m'
_symmetry_Int_Tables_number 123
_symmetry_space_group_name_Hall '-P 4 2'
_cell_length_a 4.096
_cell_length_b 4.096
_cell_length_c 3.851
_cell_angle_alpha 90.00
_cell_angle_beta 90.00
_cell_angle_gamma 90.00
loop_
_atom_site_label
_atom_site_type_symbol
_atom_site_fract_x
_atom_site_fract_y
_atom_site_fract_z
Zr1 Zr 0.000 0.000 0.000
Se1 Se 0.500 0.500 0.000
N1 N 0.000 0.500 0.500
F1 F 0.500 0.500 0.500
```

[10]
Compound: KNa2TiC
Source: Alexandria via LeMat-Bulk
Functional: PBE
Structure: relaxed

Properties
Energy of formation from the pure elements ... 2.08 eV per atom

```
data_KNa2TiC
_symmetry_space_group_name_H-M 'P 4/m m m'
_symmetry_Int_Tables_number 123
_symmetry_space_group_name_Hall '-P 4 2'
_cell_length_a 5.193
_cell_length_b 5.193
_cell_length_c 4.755
_cell_angle_alpha 90.00
_cell_angle_beta 90.00
_cell_angle_gamma 90.00
loop_
_atom_site_label
_atom_site_type_symbol
_atom_site_fract_x
_atom_site_fract_y
_atom_site_fract_z
K1 K 0.000 0.000 0.000
Na1 Na 0.000 0.500 0.000
Ti1 Ti 0.500 0.500 0.500
C1 C 0.000 0.000 0.500
```

[11]
Compound: ThTiGa2Ni5
Source: Alexandria via LeMat-Bulk
Functional: PBE
Structure: relaxed

Properties
Energy of formation from the pure elements ... -0.25 eV per atom

```
data_ThTiGa2Ni5
_symmetry_space_group_name_H-M 'P 4/m m m'
_symmetry_Int_Tables_number 123
_symmetry_space_group_name_Hall '-P 4 2'
_cell_length_a 3.870
_cell_length_b 3.870
_cell_length_c 8.976
_cell_angle_alpha 90.00
_cell_angle_beta 90.00
_cell_angle_gamma 90.00
loop_
_atom_site_label
_atom_site_type_symbol
_atom_site_fract_x
_atom_site_fract_y
_atom_site_fract_z
Th1 Th 0.000 0.000 0.000
Ti1 Ti 0.000 0.000 0.500
Ga1 Ga 0.500 0.500 0.369
Ni1 Ni 0.000 0.500 0.220
Ni2 Ni 0.500 0.500 0.000
```

Uncorrected energy, record by record: -111.64 -41.36 -31.92 -65.24 -28.57 -101.91 -14.67 -77.15 -25.45 -10.44 -52.50 eV/cell